{
  "formula": "Ca3V2Bi2O12",
  "functional": "GGA-PBEsol",
  "state": "relaxed",
  "e_tot_ev_per_atom": -7.33,
  "raw_formation_energy_ev_per_fu": -42.04,
  "vol_a3_per_atom": 14.84,
  "lattice": [[-3.0918, -4.4221, 0.7663], [4.3039, -3.7998, -4.3227], [3.3334, -0.5576, 6.5920]],
  "species": ["O", "O", "O", "O", "O", "O", "O", "O", "O", "O", "O", "O", "Bi", "Bi", "Ca", "Ca", "Ca", "V", "V"],
  "fractional_positions": [[0.5072, 0.3207, 0.3608], [0.9927, 0.6006, 0.6613], [0.8559, 0.0498, 0.9313], [0.4427, 0.5898, 0.1025], [0.9538, 0.1743, 0.6104], [0.4283, 0.9633, 0.0697], [0.4825, 0.8854, 0.4021], [0.0028, 0.8105, 0.2008], [0.5032, 0.6154, 0.6513], [0.9106, 0.4139, 0.9440], [0.0219, 0.3458, 0.3228], [0.4586, 0.2477, 0.7743], [0.2514, 0.3912, 0.5745], [0.7371, 0.5870, 0.4129], [0.7519, 0.7147, 0.9129], [0.2660, 0.2783, 0.0711], [0.7739, 0.0771, 0.3012], [0.7842, 0.2150, 0.8073], [0.3209, 0.8104, 0.1935]]
}



{
  "formula": "CaVBiO5",
  "functional": "GGA-PBEsol",
  "state": "relaxed",
  "e_tot_ev_per_atom": -7.61,
  "raw_formation_energy_ev_per_fu": -18.60,
  "vol_a3_per_atom": 16.02,
  "de_polymorph_ev_per_atom": 0.017,
  "lattice": [[-3.3037, -3.1372, -3.4634], [-0.1961, -3.0886, 7.5403], [-9.1370, 6.8063, 2.5503]],
  "species": ["Ca", "Ca", "Ca", "Ca", "O", "O", "O", "O", "O", "O", "O", "O", "O", "O", "O", "O", "O", "O", "O", "O", "O", "O", "O", "O", "V", "V", "V", "V", "Bi", "Bi", "Bi", "Bi"],
  "fractional_positions": [[0.5461, 0.1880, 0.0877], [0.4539, 0.8120, 0.9123], [0.4539, 0.3120, 0.5877], [0.5461, 0.6880, 0.4123], [0.2340, 0.1708, 0.4242], [0.7506, 0.6736, 0.9419], [0.8643, 0.8949, 0.3200], [0.7711, 0.5131, 0.4743], [0.2289, 0.4869, 0.5257], [0.1357, 0.6051, 0.8200], [0.7711, 0.0131, 0.0257], [0.6886, 0.5031, 0.7245], [0.7660, 0.3292, 0.9242], [0.6886, 0.0031, 0.7755], [0.2494, 0.8264, 0.4419], [0.3114, 0.9969, 0.2245], [0.8643, 0.3949, 0.1800], [0.2494, 0.3264, 0.0581], [0.2340, 0.6708, 0.0758], [0.7506, 0.1736, 0.5581], [0.2289, 0.9869, 0.9743], [0.3114, 0.4969, 0.2755], [0.7660, 0.8292, 0.5758], [0.1357, 0.1051, 0.6800], [0.1681, 0.9733, 0.3554], [0.8319, 0.0267, 0.6446], [0.1681, 0.4733, 0.1446], [0.8319, 0.5267, 0.8554], [0.0365, 0.6670, 0.5953], [0.9635, 0.3330, 0.4047], [0.9635, 0.8330, 0.0953], [0.0365, 0.1670, 0.9047]]
}



{
  "formula": "Ca2BiWO6",
  "functional": "GGA-PBEsol",
  "state": "relaxed",
  "e_tot_ev_per_atom": -7.66,
  "raw_formation_energy_ev_per_fu": -22.73,
  "vol_a3_per_atom": 13.56,
  "lattice": [[5.5112, 0.0000, -0.0305], [0.0000, 5.9913, 0.0000], [-0.1298, 0.0000, 8.2131]],
  "species": ["O", "O", "O", "O", "O", "O", "O", "O", "O", "O", "O", "O", "Ca", "Ca", "Ca", "Ca", "W", "W", "Bi", "Bi"],
  "fractional_positions": [[0.3848, 0.3986, 0.2112], [0.8848, 0.1014, 0.7112], [0.7959, 0.3321, 0.0290], [0.6656, 0.7563, 0.1026], [0.8344, 0.2563, 0.3974], [0.6152, 0.6014, 0.7888], [0.1656, 0.7437, 0.6026], [0.1152, 0.8986, 0.2888], [0.2959, 0.1679, 0.5290], [0.2041, 0.6679, 0.9710], [0.3344, 0.2437, 0.8974], [0.7041, 0.8321, 0.4710], [0.9955, 0.5365, 0.2309], [0.5045, 0.0365, 0.2691], [0.0045, 0.4635, 0.7691], [0.4955, 0.9635, 0.7309], [0.5000, 0.5000, 0.0000], [0.0000, 0.0000, 0.5000], [0.0000, 0.0000, 0.0000], [0.5000, 0.5000, 0.5000]]
}



{
  "formula": "CaBiPOs2",
  "functional": "GGA-PBEsol",
  "state": "relaxed",
  "e_tot_ev_per_atom": -5.44,
  "formation_enthalpy_0k_kj_per_mol_atoms": 182.0,
  "vol_a3_per_atom": 25.60,
  "lattice": [[4.9678, 0.0000, 0.0000], [0.0000, 4.9678, 0.0000], [0.0000, 0.0000, 5.1874]],
  "species": ["Os", "Os", "P", "Ca", "Bi"],
  "fractional_positions": [[0.0000, 0.5000, 0.0000], [0.5000, 0.0000, 0.0000], [0.0000, 0.0000, 0.5000], [0.5000, 0.5000, 0.5000], [0.0000, 0.0000, 0.0000]]
}



{
  "formula": "Ca3BiP",
  "functional": "GGA-PBEsol",
  "state": "relaxed",
  "e_tot_ev_per_atom": -4.27,
  "formation_enthalpy_0k_kj_per_mol_atoms": -94.4,
  "vol_a3_per_atom": 30.74,
  "de_polymorph_ev_per_atom": 0.064,
  "lattice": [[5.3564, 0.0000, 0.0000], [0.0000, 5.3564, 0.0000], [0.0000, 0.0000, 5.3564]],
  "species": ["Bi", "Ca", "Ca", "Ca", "P"],
  "fractional_positions": [[0.5000, 0.5000, 0.5000], [0.5000, 0.0000, 0.0000], [0.0000, 0.0000, 0.5000], [0.0000, 0.5000, 0.0000], [0.0000, 0.0000, 0.0000]]
}



{
  "formula": "Ca3BiP",
  "functional": "GGA-PBEsol",
  "state": "relaxed",
  "e_tot_ev_per_atom": -4.34,
  "formation_enthalpy_0k_kj_per_mol_atoms": -100.6,
  "vol_a3_per_atom": 30.44,
  "de_polymorph_ev_per_atom": 0.000,
  "lattice": [[-2.0251, -4.9393, 5.1636], [-4.3758, -3.6544, -5.2119], [8.2521, -6.1317, -2.6290]],
  "species": ["Bi", "Bi", "Bi", "Bi", "Ca", "Ca", "Ca", "Ca", "Ca", "Ca", "Ca", "Ca", "Ca", "Ca", "Ca", "Ca", "P", "P", "P", "P"],
  "fractional_positions": [[0.5165, 0.4392, 0.7500], [0.4835, 0.5608, 0.2500], [0.0165, 0.0608, 0.2500], [0.9835, 0.9392, 0.7500], [0.5939, 0.9669, 0.2500], [0.3039, 0.3012, 0.4519], [0.4061, 0.0331, 0.7500], [0.6961, 0.6988, 0.5481], [0.9061, 0.4669, 0.2500], [0.3039, 0.3012, 0.0481], [0.8039, 0.1988, 0.5481], [0.0939, 0.5331, 0.7500], [0.6961, 0.6988, 0.9519], [0.1961, 0.8012, 0.4519], [0.1961, 0.8012, 0.0481], [0.8039, 0.1988, 0.9519], [0.0000, 0.5000, 0.0000], [0.5000, 0.0000, 0.0000], [0.0000, 0.5000, 0.5000], [0.5000, 0.0000, 0.5000]]
}